Below is Zn2Pt at its PBEsol-relaxed geometry, with properties calculated at the meta-GGA SCAN level.

Geometry as CIF:
```
data_Zn2Pt
_chemical_formula_sum 'Zn4 Pt2'
_space_group_name_H-M_alt 'P 1'
_space_group_IT_number 1
_cell_length_a 2.7932
_cell_length_b 5.0367
_cell_length_c 6.4413
_cell_angle_alpha 76.91
_cell_angle_beta 89.78
_cell_angle_gamma 73.92
loop_
_space_group_symop_operation_xyz
'x,y,z'
loop_
_atom_site_label
_atom_site_type_symbol
_atom_site_fract_x
_atom_site_fract_y
_atom_site_fract_z
Zn1 Zn 0.0000 0.0000 0.0000
Zn2 Zn 0.0620 0.8743 0.5994
Zn3 Zn 0.3391 0.3215 0.6632
Zn4 Zn 0.6831 0.6334 0.3073
Pt1 Pt 0.4094 0.1825 0.2915
Pt2 Pt 0.7140 0.5669 0.9138
```

Energy, eV per cell: -197.0
Calculated formation energy, eV/atom: -0.423
Total magnetic moment, μB per formula unit: 0.000